! Ta2BeNb | Alexandria via LeMat-Bulk | PBE | relaxed; values from VASP
&SYSTEM
  ibrav = 0, nat = 4, ntyp = 3
/
ATOMIC_SPECIES
Be 9.01 Be.upf
Nb 92.91 Nb.upf
Ta 180.95 Ta.upf
CELL_PARAMETERS angstrom
3.296 0.000 0.000
0.000 3.296 0.000
0.000 0.000 5.919
ATOMIC_POSITIONS crystal
Be 0.500 0.500 0.000
Nb 0.500 0.500 0.500
Ta 0.000 0.000 0.231
Ta 0.000 0.000 0.769
! - Total magnetic moment: 0.0000 μB/atom
! - Raw total energy: -37.4 eV for the cell shown
! - Symmetry: P4/mmm
! - Fermi-level density of states: 3.25 states/eV per cell

! BaNb4O14 | Alexandria via LeMat-Bulk | PBE | relaxed; values from VASP
&SYSTEM
  ibrav = 0, nat = 19, ntyp = 3
/
ATOMIC_SPECIES
O 16.00 O.upf
Nb 92.91 Nb.upf
Ba 137.33 Ba.upf
CELL_PARAMETERS angstrom
7.581 -0.014 -0.010
3.766 6.579 -0.010
3.766 2.179 6.208
ATOMIC_POSITIONS crystal
O 0.310 0.940 0.940
O 0.691 0.068 0.691
O 0.068 0.691 0.691
O 0.664 0.664 0.664
O 0.940 0.940 0.310
O 0.309 0.932 0.309
O 0.336 0.336 0.336
O 0.691 0.691 0.068
O 0.309 0.309 0.932
O 0.060 0.060 0.690
O 0.940 0.310 0.940
O 0.932 0.309 0.309
O 0.690 0.060 0.060
O 0.060 0.690 0.060
Nb 0.500 0.000 0.000
Nb 0.000 0.000 0.000
Nb 0.000 0.000 0.500
Nb 0.000 0.500 0.000
Ba 0.500 0.500 0.500
! - Total magnetic moment: 0.3197 μB/atom
! - Raw total energy: -145.9 eV for the cell shown
! - Symmetry: R-3m
! - Fermi-level density of states: 12.07 states/eV per cell

! Ga2Pd2W | Alexandria via LeMat-Bulk | PBE | relaxed; values from VASP
&SYSTEM
  ibrav = 0, nat = 10, ntyp = 3
/
ATOMIC_SPECIES
Pd 106.42 Pd.upf
Ga 69.72 Ga.upf
W 183.84 W.upf
CELL_PARAMETERS angstrom
7.337 0.000 0.000
0.000 7.337 0.000
0.000 0.000 2.830
ATOMIC_POSITIONS crystal
Pd 0.152 0.652 0.500
Pd 0.848 0.348 0.500
Pd 0.652 0.848 0.500
Pd 0.348 0.152 0.500
Ga 0.852 0.648 0.000
Ga 0.148 0.352 0.000
Ga 0.648 0.148 0.000
Ga 0.352 0.852 0.000
W 0.000 0.000 0.000
W 0.500 0.500 0.000
! - Total magnetic moment: 0.0000 μB/atom
! - Raw total energy: -60.1 eV for the cell shown
! - Symmetry: P4/mbm
! - Fermi-level density of states: 9.59 states/eV per cell

! Dy2ZnPd2 | Alexandria via LeMat-Bulk | PBE | relaxed; values from VASP
&SYSTEM
  ibrav = 0, nat = 20, ntyp = 3
/
ATOMIC_SPECIES
Dy 162.50 Dy.upf
Pd 106.42 Pd.upf
Zn 65.41 Zn.upf
CELL_PARAMETERS angstrom
-4.977 2.724 -4.705
0.902 -5.876 -4.357
-5.689 -3.733 3.857
ATOMIC_POSITIONS crystal
Dy 0.673 0.827 0.000
Dy 0.173 0.673 0.000
Dy 0.827 0.327 0.500
Dy 0.173 0.673 0.500
Dy 0.327 0.173 0.500
Dy 0.827 0.327 0.000
Dy 0.673 0.827 0.500
Dy 0.327 0.173 0.000
Pd 0.868 0.632 0.750
Pd 0.132 0.368 0.250
Pd 0.368 0.868 0.750
Pd 0.632 0.132 0.750
Pd 0.132 0.368 0.750
Pd 0.868 0.632 0.250
Pd 0.632 0.132 0.250
Pd 0.368 0.868 0.250
Zn 0.500 0.500 0.751
Zn 0.000 0.000 0.251
Zn 0.500 0.500 0.249
Zn 0.000 0.000 0.749
! - Total magnetic moment: 0.0000 μB/atom
! - Raw total energy: -98.6 eV for the cell shown
! - Symmetry: P4/mnc
! - Fermi-level density of states: 14.15 states/eV per cell

! Nd2Th3Pt2 | Alexandria via LeMat-Bulk | PBE | relaxed; values from VASP
&SYSTEM
  ibrav = 0, nat = 7, ntyp = 3
/
ATOMIC_SPECIES
Th 232.04 Th.upf
Pt 195.08 Pt.upf
Nd 144.24 Nd.upf
CELL_PARAMETERS angstrom
3.763 0.000 1.058
1.346 5.704 2.437
-0.592 -0.150 9.333
ATOMIC_POSITIONS crystal
Th 0.379 0.802 0.441
Th 0.621 0.198 0.559
Th 0.500 0.000 0.000
Pt 0.142 0.929 0.787
Pt 0.858 0.071 0.213
Nd 0.160 0.479 0.201
Nd 0.840 0.521 0.799
! - Total magnetic moment: 0.0000 μB/atom
! - Raw total energy: -48.7 eV for the cell shown
! - Symmetry: C2/m
! - Fermi-level density of states: 6.90 states/eV per cell

! Hf12Ta3Cd5 | Alexandria via LeMat-Bulk | PBE | relaxed; values from VASP
&SYSTEM
  ibrav = 0, nat = 80, ntyp = 3
/
ATOMIC_SPECIES
Ta 180.95 Ta.upf
Hf 178.49 Hf.upf
Cd 112.41 Cd.upf
CELL_PARAMETERS angstrom
-12.025 6.904 3.614
3.434 -9.332 10.317
10.639 9.462 -1.616
ATOMIC_POSITIONS crystal
Ta 0.375 0.750 0.625
Ta 0.625 0.250 0.375
Ta 0.375 0.625 0.250
Ta 0.750 0.375 0.125
Ta 0.250 0.625 0.875
Ta 0.875 0.125 0.250
Ta 0.875 0.750 0.125
Ta 0.250 0.125 0.375
Ta 0.625 0.375 0.750
Ta 0.750 0.875 0.625
Ta 0.125 0.875 0.750
Ta 0.125 0.250 0.875
Hf 0.156 0.073 0.925
Hf 0.925 0.353 0.270
Hf 0.656 0.230 0.583
Hf 0.427 0.075 0.344
Hf 0.156 0.083 0.730
Hf 0.147 0.730 0.575
Hf 0.853 0.583 0.927
Hf 0.917 0.844 0.770
Hf 0.417 0.147 0.573
Hf 0.270 0.853 0.925
Hf 0.844 0.927 0.075
Hf 0.927 0.083 0.853
Hf 0.575 0.230 0.147
Hf 0.770 0.425 0.353
Hf 0.573 0.647 0.417
Hf 0.353 0.925 0.770
Hf 0.647 0.075 0.230
Hf 0.270 0.417 0.844
Hf 0.575 0.344 0.927
Hf 0.583 0.730 0.656
Hf 0.417 0.270 0.344
Hf 0.770 0.344 0.917
Hf 0.083 0.156 0.230
Hf 0.073 0.917 0.147
Hf 0.230 0.656 0.083
Hf 0.730 0.147 0.075
Hf 0.917 0.073 0.647
Hf 0.647 0.573 0.917
Hf 0.353 0.427 0.083
Hf 0.844 0.917 0.270
Hf 0.427 0.353 0.583
Hf 0.344 0.575 0.427
Hf 0.147 0.417 0.073
Hf 0.656 0.425 0.573
Hf 0.083 0.927 0.353
Hf 0.425 0.656 0.073
Hf 0.230 0.575 0.647
Hf 0.853 0.270 0.425
Hf 0.075 0.647 0.730
Hf 0.344 0.770 0.417
Hf 0.075 0.427 0.844
Hf 0.425 0.770 0.853
Hf 0.073 0.156 0.425
Hf 0.573 0.925 0.656
Hf 0.730 0.583 0.156
Hf 0.927 0.844 0.575
Hf 0.583 0.853 0.427
Hf 0.925 0.573 0.156
Cd 0.375 0.250 0.125
Cd 0.250 0.875 0.125
Cd 0.875 0.250 0.625
Cd 0.750 0.625 0.375
Cd 0.000 0.500 0.000
Cd 0.250 0.375 0.625
Cd 0.625 0.750 0.875
Cd 0.500 0.000 0.000
Cd 0.500 0.500 0.000
Cd 0.375 0.125 0.750
Cd 0.625 0.875 0.250
Cd 0.875 0.625 0.750
Cd 0.125 0.375 0.250
Cd 0.500 0.000 0.500
Cd 0.000 0.000 0.000
Cd 0.125 0.750 0.375
Cd 0.750 0.125 0.875
Cd 0.000 0.500 0.500
Cd 0.000 0.000 0.500
Cd 0.500 0.500 0.500
! - Total magnetic moment: 0.0000 μB/atom
! - Raw total energy: -570.3 eV for the cell shown
! - Symmetry: Ia-3d
! - Fermi-level density of states: 64.98 states/eV per cell

! Np2NbB2Ru5 | Alexandria via LeMat-Bulk | PBE | relaxed; values from VASP
&SYSTEM
  ibrav = 0, nat = 20, ntyp = 4
/
ATOMIC_SPECIES
Np 237.00 Np.upf
B 10.81 B.upf
Ru 101.07 Ru.upf
Nb 92.91 Nb.upf
CELL_PARAMETERS angstrom
3.065 0.000 0.000
0.000 9.787 0.000
0.000 0.000 9.787
ATOMIC_POSITIONS crystal
Np 0.000 0.178 0.322
Np 0.000 0.678 0.178
Np 0.000 0.822 0.678
Np 0.000 0.322 0.822
B 0.000 0.381 0.119
B 0.000 0.881 0.381
B 0.000 0.619 0.881
B 0.000 0.119 0.619
Ru 0.500 0.722 0.430
Ru 0.500 0.070 0.778
Ru 0.500 0.778 0.930
Ru 0.500 0.222 0.070
Ru 0.500 0.278 0.570
Ru 0.500 0.000 0.500
Ru 0.500 0.500 0.000
Ru 0.500 0.930 0.222
Ru 0.500 0.570 0.722
Ru 0.500 0.430 0.278
Nb 0.000 0.500 0.500
Nb 0.000 0.000 0.000
! - Total magnetic moment: 0.5671 μB/atom
! - Raw total energy: -197.7 eV for the cell shown
! - Symmetry: P4/mbm
! - Fermi-level density of states: 27.99 states/eV per cell

! CsPmAgTe2 | Alexandria via LeMat-Bulk | PBE | relaxed; values from VASP
&SYSTEM
  ibrav = 0, nat = 10, ntyp = 4
/
ATOMIC_SPECIES
Ag 107.87 Ag.upf
Cs 132.91 Cs.upf
Te 127.60 Te.upf
Pm 145.00 Pm.upf
CELL_PARAMETERS angstrom
-4.780 -0.443 0.628
1.148 0.039 8.768
-0.834 9.068 0.049
ATOMIC_POSITIONS crystal
Ag 0.000 0.000 0.000
Ag 0.000 0.000 0.500
Cs 0.002 0.500 0.750
Cs 0.998 0.500 0.250
Te 0.423 0.236 0.000
Te 0.577 0.236 0.500
Te 0.577 0.764 0.000
Te 0.423 0.764 0.500
Pm 0.500 0.000 0.250
Pm 0.500 0.000 0.750
! - Total magnetic moment: 0.0000 μB/atom
! - Raw total energy: -37.9 eV for the cell shown
! - Symmetry: P2/c
! - Fermi-level density of states: 2.95 states/eV per cell

! Ta3CoSe6 | Alexandria via LeMat-Bulk | PBE | relaxed; values from VASP
&SYSTEM
  ibrav = 0, nat = 20, ntyp = 3
/
ATOMIC_SPECIES
Se 78.96 Se.upf
Ta 180.95 Ta.upf
Co 58.93 Co.upf
CELL_PARAMETERS angstrom
-0.076 5.151 -3.488
4.207 -3.896 -5.845
-7.750 -1.558 -2.132
ATOMIC_POSITIONS crystal
Se 0.648 0.966 0.034
Se 0.726 0.520 0.094
Se 0.654 0.636 0.695
Se 0.154 0.695 0.636
Se 0.200 0.765 0.235
Se 0.654 0.305 0.364
Se 0.226 0.094 0.520
Se 0.226 0.480 0.906
Se 0.726 0.906 0.480
Se 0.148 0.034 0.966
Se 0.700 0.235 0.765
Se 0.154 0.364 0.305
Ta 0.856 0.602 0.398
Ta 0.449 0.981 0.737
Ta 0.356 0.398 0.602
Ta 0.949 0.737 0.981
Ta 0.949 0.019 0.263
Ta 0.449 0.263 0.019
Co 0.124 0.215 0.785
Co 0.624 0.785 0.215
! - Total magnetic moment: 0.0000 μB/atom
! - Raw total energy: -135.9 eV for the cell shown
! - Symmetry: Cmc2_1
! - Fermi-level density of states: 1.09 states/eV per cell

! TlRhO3 | Alexandria via LeMat-Bulk | PBE | relaxed; values from VASP
&SYSTEM
  ibrav = 0, nat = 10, ntyp = 3
/
ATOMIC_SPECIES
O 16.00 O.upf
Rh 102.91 Rh.upf
Tl 204.38 Tl.upf
CELL_PARAMETERS angstrom
3.191 0.000 0.000
-1.596 6.805 -0.262
0.000 0.056 6.326
ATOMIC_POSITIONS crystal
O 0.016 0.033 0.219
O 0.984 0.967 0.781
O 0.864 0.728 0.479
O 0.680 0.360 0.121
O 0.320 0.640 0.879
O 0.136 0.272 0.521
Rh 0.571 0.143 0.379
Rh 0.429 0.857 0.621
Tl 0.854 0.707 0.118
Tl 0.146 0.293 0.882
! - Total magnetic moment: 0.0000 μB/atom
! - Raw total energy: -54.4 eV for the cell shown
! - Symmetry: C2/m
! - Fermi-level density of states: 3.04 states/eV per cell

! Dy6Te3Ir2Pb | Alexandria via LeMat-Bulk | PBE | relaxed; values from VASP
&SYSTEM
  ibrav = 0, nat = 12, ntyp = 4
/
ATOMIC_SPECIES
Dy 162.50 Dy.upf
Te 127.60 Te.upf
Ir 192.22 Ir.upf
Pb 207.20 Pb.upf
CELL_PARAMETERS angstrom
-2.151 -1.500 -3.245
2.963 -8.151 1.804
-7.056 1.935 6.465
ATOMIC_POSITIONS crystal
Dy 0.014 0.261 0.028
Dy 0.672 0.120 0.344
Dy 0.319 0.441 0.639
Dy 0.681 0.559 0.361
Dy 0.986 0.739 0.972
Dy 0.328 0.880 0.656
Te 0.839 0.166 0.679
Te 0.500 0.500 0.000
Te 0.161 0.834 0.321
Ir 0.167 0.332 0.334
Ir 0.833 0.668 0.666
Pb 0.500 0.000 0.000
! - Total magnetic moment: 0.0000 μB/atom
! - Raw total energy: -70.4 eV for the cell shown
! - Symmetry: C2/m
! - Fermi-level density of states: 5.41 states/eV per cell

! KRb2IO6 | Alexandria via LeMat-Bulk | PBE | relaxed; values from VASP
&SYSTEM
  ibrav = 0, nat = 10, ntyp = 4
/
ATOMIC_SPECIES
O 16.00 O.upf
K 39.10 K.upf
I 126.90 I.upf
Rb 85.47 Rb.upf
CELL_PARAMETERS angstrom
6.439 0.000 0.000
3.219 5.576 0.000
3.219 1.859 5.257
ATOMIC_POSITIONS crystal
O 0.793 0.793 0.207
O 0.793 0.207 0.207
O 0.207 0.793 0.793
O 0.793 0.207 0.793
O 0.207 0.793 0.207
O 0.207 0.207 0.793
K 0.500 0.500 0.500
I 0.000 0.000 0.000
Rb 0.250 0.250 0.250
Rb 0.750 0.750 0.750
! - Total magnetic moment: 0.2001 μB/atom
! - Raw total energy: -43.7 eV for the cell shown
! - Symmetry: Fm-3m
! - Fermi-level density of states: 7.23 states/eV per cell